SiW3: relaxed, PBE.

a = 3.8951 Å, b = 3.8951 Å, c = 8.1199 Å
α = 90.00°, β = 90.00°, γ = 90.00°
Space group I4/mmm (No. 139)
Unique sites:
Si 0.0000 0.0000 0.0000 [2 per cell]
W 0.0000 0.0000 0.5000 [2 per cell]
W 0.0000 0.5000 0.2500 [4 per cell]

* formation energy from raw total energies: 0.211 eV per atom
* calculated total energy: -0.3991 Ha/atom
* mass density: 15.6 g cm⁻³
* Fermi-level density of states: 2.45 states/eV/f.u.
* V: 15.399 Å³ per atom